A plane-wave DFT calculation with PBE-GGA was carried out for an optimized crystal structure of Pd3I.

Calculated values
For the uncorrected formation energy, the calculation gives 17 kJ/mol of atoms. The density is 10.40 g cm⁻³.

Cell and atoms, written as CIF:
```
data_Pd3I
_cell_length_a 4.320
_cell_length_b 4.320
_cell_length_c 7.640
_cell_angle_alpha 90.00
_cell_angle_beta 90.00
_cell_angle_gamma 90.00
_space_group_name_H-M_alt 'I 4/m m m'
_space_group_IT_number 139
_space_group_name_Hall '-I 4 2'
loop_
_atom_site_label
_atom_site_fract_x
_atom_site_fract_y
_atom_site_fract_z
_atom_site_occupancy
Pd1 0.000 0.000 0.000 1
Pd2 0.000 0.500 0.250 1
I1 0.000 0.000 0.500 1
```